(1)
## Na5AsS4Br2 (GGA-PBE)

Data for a relaxed structure of Na5AsS4Br2.

Cell lengths 8.4317, 6.5243, 6.5243 Å; angles 115.60, 90.00, 90.00 degrees
Atoms (fractional coordinates):
Na: 0.0000 0.0000 0.0000
Na: 0.2664 0.2905 0.6742
Na: 0.2664 0.6742 0.2905
Na: 0.7336 0.2905 0.6742
Na: 0.7336 0.6742 0.2905
As: 0.5000 0.0065 0.0065
S: 0.2898 0.1929 0.1929
S: 0.5000 0.6559 0.9754
S: 0.5000 0.9754 0.6559
S: 0.7102 0.1929 0.1929
Br: 0.0000 0.5438 0.9307
Br: 0.0000 0.9307 0.5438

Summary:
electronic total energy: -3.5889 eV per atom
formation energy (no corrections): -0.9972 eV per atom
magnetization: 0.0 Bohr magnetons per cell



(2)
## Th6Fe2N (GGA-PBE)

Data for a relaxed structure of Th6Fe2N.

Cell lengths 6.3639, 6.9506, 11.6344 Å; angles 90.00, 121.73, 90.00 degrees
Atoms (fractional coordinates):
Th: 0.0933 0.0540 0.2447
Th: 0.0933 0.4460 0.7447
Th: 0.2308 0.6745 0.0697
Th: 0.2308 0.8255 0.5697
Th: 0.3922 0.1697 0.0672
Th: 0.3922 0.3303 0.5672
Th: 0.6078 0.6697 0.4328
Th: 0.6078 0.8303 0.9328
Th: 0.7692 0.1745 0.4303
Th: 0.7692 0.3255 0.9303
Th: 0.9067 0.5540 0.2553
Th: 0.9067 0.9460 0.7553
Fe: 0.3274 0.1254 0.7691
Fe: 0.3274 0.3746 0.2691
Fe: 0.6726 0.6254 0.7309
Fe: 0.6726 0.8746 0.2309
N: 0.0000 0.0000 0.0000
N: 0.0000 0.5000 0.5000

Summary:
electronic total energy: -8.1315 eV per atom
formation energy (no corrections): -0.3793 eV per atom
magnetization: 0.0 Bohr magnetons per cell



(3)
## Tb5HoSb6 (GGA-PBE)

Data for a relaxed structure of Tb5HoSb6.

Cell lengths 7.6148, 7.6148, 7.6128 Å; angles 99.60, 99.60, 120.00 degrees
Atoms (fractional coordinates):
Tb: 0.0000 0.0000 0.0000
Tb: 0.1665 0.8335 0.5000
Tb: 0.3328 0.6672 0.0000
Tb: 0.6672 0.3328 0.0000
Tb: 0.8335 0.1665 0.5000
Ho: 0.5000 0.5000 0.5000
Sb: 0.0848 0.4170 0.2509
Sb: 0.2512 0.2512 0.7495
Sb: 0.4170 0.0848 0.2509
Sb: 0.5830 0.9152 0.7491
Sb: 0.7488 0.7488 0.2505
Sb: 0.9152 0.5830 0.7491

Summary:
electronic total energy: -5.5145 eV per atom
formation energy (no corrections): -1.1426 eV per atom
magnetization: 0.0 Bohr magnetons per cell